w | A relaxed SrMg3O4 crystal. Source: Alexandria, functional PBE.

Structure (CIF):
```
data_SrMg3O4
_chemical_formula_sum 'Sr1 Mg3 O4'
_cell_length_a 3.299
_cell_length_b 3.299
_cell_length_c 8.981
_cell_angle_alpha 90.00
_cell_angle_beta 90.00
_cell_angle_gamma 90.00
_symmetry_space_group_name_H-M 'P 4/m m m'
_symmetry_Int_Tables_number 123
_symmetry_space_group_name_Hall '-P 4 2'
loop_
_atom_site_label
_atom_site_type_symbol
_atom_site_fract_x
_atom_site_fract_y
_atom_site_fract_z
Sr1 Sr 0.000 0.000 0.000
Mg1 Mg 0.000 0.000 0.500
Mg2 Mg 0.500 0.500 0.273
O1 O 0.000 0.000 0.276
O2 O 0.500 0.500 0.000
O3 O 0.500 0.500 0.500
```

Properties
V: 12.22 Å³/atom
Total magnetization: 0.00 μB per formula unit
Density of states at the Fermi level: 0.000 states/eV per atom

x | A relaxed SrMg3O4 crystal. Source: Alexandria, functional PBE.

Structure (CIF):
```
data_SrMg3O4
_chemical_formula_sum 'Sr1 Mg3 O4'
_cell_length_a 2.791
_cell_length_b 2.791
_cell_length_c 11.253
_cell_angle_alpha 90.00
_cell_angle_beta 90.00
_cell_angle_gamma 90.00
_symmetry_space_group_name_H-M 'P 4/m m m'
_symmetry_Int_Tables_number 123
_symmetry_space_group_name_Hall '-P 4 2'
loop_
_atom_site_label
_atom_site_type_symbol
_atom_site_fract_x
_atom_site_fract_y
_atom_site_fract_z
Sr1 Sr 0.000 0.000 0.000
Mg1 Mg 0.000 0.000 0.260
Mg2 Mg 0.000 0.000 0.500
O1 O 0.500 0.500 0.145
O2 O 0.500 0.500 0.380
```

Properties
V: 10.95 Å³/atom
Total magnetization: 0.00 μB per formula unit
Density of states at the Fermi level: 0.000 states/eV per atom

y | A relaxed SrMg3O4 crystal. Source: Alexandria, functional PBE.

Structure (CIF):
```
data_SrMg3O4
_chemical_formula_sum 'Sr1 Mg3 O4'
_cell_length_a 4.613
_cell_length_b 4.613
_cell_length_c 4.613
_cell_angle_alpha 90.00
_cell_angle_beta 90.00
_cell_angle_gamma 90.00
_symmetry_space_group_name_H-M 'P m -3 m'
_symmetry_Int_Tables_number 221
_symmetry_space_group_name_Hall '-P 4 2 3'
loop_
_atom_site_label
_atom_site_type_symbol
_atom_site_fract_x
_atom_site_fract_y
_atom_site_fract_z
Sr1 Sr 0.000 0.000 0.000
Mg1 Mg 0.000 0.500 0.500
O1 O 0.000 0.000 0.500
O2 O 0.500 0.500 0.500
```

Properties
V: 12.27 Å³/atom
Total magnetization: 0.00 μB per formula unit
Density of states at the Fermi level: 0.000 states/eV per atom

The structure with the greatest stability is w.

w | A relaxed Sr2MgO crystal. Source: Alexandria, functional PBE.

Structure (CIF):
```
data_Sr2MgO
_chemical_formula_sum 'Sr6 Mg3 O3'
_cell_length_a 3.6993
_cell_length_b 3.6993
_cell_length_c 29.7362
_cell_angle_alpha 90.00
_cell_angle_beta 90.00
_cell_angle_gamma 120.00
_symmetry_space_group_name_H-M 'R -3 m'
_symmetry_Int_Tables_number 166
_symmetry_space_group_name_Hall '-R 3 2"'
loop_
_atom_site_label
_atom_site_type_symbol
_atom_site_fract_x
_atom_site_fract_y
_atom_site_fract_z
Sr1 Sr 0.0000 0.0000 0.1166
Mg1 Mg 0.0000 0.0000 0.0000
O1 O 0.0000 0.0000 0.5000
```

Properties
V: 29.37 Å³/atom
Total magnetization: 0.52 μB per formula unit
Density of states at the Fermi level: 0.760 states/eV per atom

x | A relaxed Sr2MgO crystal. Source: Alexandria, functional PBE.

Structure (CIF):
```
data_Sr2MgO
_chemical_formula_sum 'Sr8 Mg4 O4'
_cell_length_a 7.424
_cell_length_b 7.424
_cell_length_c 9.613
_cell_angle_alpha 90.00
_cell_angle_beta 90.00
_cell_angle_gamma 90.00
_symmetry_space_group_name_H-M 'I -4 2 d'
_symmetry_Int_Tables_number 122
_symmetry_space_group_name_Hall 'I -4 2bw'
loop_
_atom_site_label
_atom_site_type_symbol
_atom_site_fract_x
_atom_site_fract_y
_atom_site_fract_z
Sr1 Sr 0.120 0.750 0.125
Mg1 Mg 0.000 0.000 0.500
O1 O 0.000 0.000 0.000
```

Properties
V: 33.11 Å³/atom
Total magnetization: 0.00 μB per formula unit
Density of states at the Fermi level: 0.126 states/eV per atom

The structure with the greatest stability is x.

w | A relaxed Sr2Mg2O crystal. Source: Alexandria, functional PBE.

Structure (CIF):
```
data_Sr2Mg2O
_chemical_formula_sum 'Sr4 Mg4 O2'
_cell_length_a 6.857
_cell_length_b 6.857
_cell_length_c 6.580
_cell_angle_alpha 90.00
_cell_angle_beta 90.00
_cell_angle_gamma 90.00
_symmetry_space_group_name_H-M 'P 4/m b m'
_symmetry_Int_Tables_number 127
_symmetry_space_group_name_Hall '-P 4 2ab'
loop_
_atom_site_label
_atom_site_type_symbol
_atom_site_fract_x
_atom_site_fract_y
_atom_site_fract_z
Sr1 Sr 0.205 0.295 0.000
Mg1 Mg 0.152 0.652 0.500
O1 O 0.000 0.000 0.000
```

Properties
V: 30.94 Å³/atom
Total magnetization: 0.00 μB per formula unit
Density of states at the Fermi level: 0.374 states/eV per atom

x | A relaxed Sr2Mg2O crystal. Source: Alexandria, functional PBE.

Structure (CIF):
```
data_Sr2Mg2O
_chemical_formula_sum 'Sr4 Mg4 O2'
_cell_length_a 3.746
_cell_length_b 3.746
_cell_length_c 18.640
_cell_angle_alpha 90.00
_cell_angle_beta 90.00
_cell_angle_gamma 90.00
_symmetry_space_group_name_H-M 'I 4/m m m'
_symmetry_Int_Tables_number 139
_symmetry_space_group_name_Hall '-I 4 2'
loop_
_atom_site_label
_atom_site_type_symbol
_atom_site_fract_x
_atom_site_fract_y
_atom_site_fract_z
Sr1 Sr 0.000 0.000 0.084
Mg1 Mg 0.000 0.500 0.250
O1 O 0.000 0.000 0.500
```

Properties
V: 26.16 Å³/atom
Total magnetization: 0.00 μB per formula unit
Density of states at the Fermi level: 0.446 states/eV per atom

The structure with the greatest stability is w.

w | A relaxed SrMg6TiO8 crystal. Source: Alexandria, functional PBE.

Structure (CIF):
```
data_SrMg6TiO8
_chemical_formula_sum 'Sr1 Mg6 Ti1 O8'
_cell_length_a 4.480
_cell_length_b 4.480
_cell_length_c 8.813
_cell_angle_alpha 90.00
_cell_angle_beta 90.00
_cell_angle_gamma 90.00
_symmetry_space_group_name_H-M 'P 4/m m m'
_symmetry_Int_Tables_number 123
_symmetry_space_group_name_Hall '-P 4 2'
loop_
_atom_site_label
_atom_site_type_symbol
_atom_site_fract_x
_atom_site_fract_y
_atom_site_fract_z
Sr1 Sr 0.000 0.000 0.000
Mg1 Mg 0.000 0.000 0.500
Mg2 Mg 0.000 0.500 0.263
Mg3 Mg 0.500 0.500 0.500
Ti1 Ti 0.500 0.500 0.000
O1 O 0.000 0.000 0.274
O2 O 0.000 0.500 0.000
O3 O 0.000 0.500 0.500
O4 O 0.500 0.500 0.257
```

Properties
V: 11.06 Å³/atom
Total magnetization: 1.89 μB per formula unit
Density of states at the Fermi level: 0.128 states/eV per atom

x | A relaxed SrMg6TiO8 crystal. Source: Alexandria, functional PBE.

Structure (CIF):
```
data_SrMg6TiO8
_chemical_formula_sum 'Sr1 Mg6 Ti1 O8'
_cell_length_a 4.500
_cell_length_b 4.500
_cell_length_c 8.856
_cell_angle_alpha 90.00
_cell_angle_beta 90.00
_cell_angle_gamma 90.00
_symmetry_space_group_name_H-M 'P 4/m m m'
_symmetry_Int_Tables_number 123
_symmetry_space_group_name_Hall '-P 4 2'
loop_
_atom_site_label
_atom_site_type_symbol
_atom_site_fract_x
_atom_site_fract_y
_atom_site_fract_z
Sr1 Sr 0.000 0.000 0.000
Mg1 Mg 0.000 0.500 0.258
Mg2 Mg 0.500 0.500 0.000
Mg3 Mg 0.500 0.500 0.500
Ti1 Ti 0.000 0.000 0.500
O1 O 0.000 0.000 0.269
O2 O 0.000 0.500 0.000
O3 O 0.000 0.500 0.500
O4 O 0.500 0.500 0.253
```

Properties
V: 11.21 Å³/atom
Total magnetization: 1.80 μB per formula unit
Density of states at the Fermi level: 0.294 states/eV per atom

The structure with the greatest stability is w.

w | A relaxed MgTa2O crystal. Source: Alexandria, functional PBE.

Structure (CIF):
```
data_MgTa2O
_chemical_formula_sum 'Mg4 Ta8 O4'
_cell_length_a 5.497
_cell_length_b 5.497
_cell_length_c 11.175
_cell_angle_alpha 90.00
_cell_angle_beta 90.00
_cell_angle_gamma 90.00
_symmetry_space_group_name_H-M 'I -4 2 d'
_symmetry_Int_Tables_number 122
_symmetry_space_group_name_Hall 'I -4 2bw'
loop_
_atom_site_label
_atom_site_type_symbol
_atom_site_fract_x
_atom_site_fract_y
_atom_site_fract_z
Mg1 Mg 0.000 0.000 0.000
Ta1 Ta 0.055 0.250 0.625
O1 O 0.000 0.000 0.500
```

Properties
V: 21.10 Å³/atom
Total magnetization: 0.00 μB per formula unit
Density of states at the Fermi level: 0.322 states/eV per atom

x | A relaxed MgTa2O crystal. Source: Alexandria, functional PBE.

Structure (CIF):
```
data_MgTa2O
_chemical_formula_sum 'Mg4 Ta8 O4'
_cell_length_a 6.312
_cell_length_b 6.312
_cell_length_c 6.312
_cell_angle_alpha 90.00
_cell_angle_beta 90.00
_cell_angle_gamma 90.00
_symmetry_space_group_name_H-M 'F m -3 m'
_symmetry_Int_Tables_number 225
_symmetry_space_group_name_Hall '-F 4 2 3'
loop_
_atom_site_label
_atom_site_type_symbol
_atom_site_fract_x
_atom_site_fract_y
_atom_site_fract_z
Mg1 Mg 0.000 0.000 0.000
Ta1 Ta 0.250 0.250 0.250
O1 O 0.000 0.000 0.500
```

Properties
V: 15.72 Å³/atom
Total magnetization: 0.00 μB per formula unit
Density of states at the Fermi level: 1.815 states/eV per atom

The structure with the greatest stability is w.

w | A relaxed Tb2MgO crystal. Source: Alexandria, functional PBE.

Structure (CIF):
```
data_Tb2MgO
_chemical_formula_sum 'Tb2 Mg1 O1'
_cell_length_a 3.070
_cell_length_b 3.070
_cell_length_c 8.447
_cell_angle_alpha 90.00
_cell_angle_beta 90.00
_cell_angle_gamma 90.00
_symmetry_space_group_name_H-M 'P 4/m m m'
_symmetry_Int_Tables_number 123
_symmetry_space_group_name_Hall '-P 4 2'
loop_
_atom_site_label
_atom_site_type_symbol
_atom_site_fract_x
_atom_site_fract_y
_atom_site_fract_z
Tb1 Tb 0.000 0.000 0.184
Mg1 Mg 0.500 0.500 0.500
O1 O 0.500 0.500 0.000
```

Properties
V: 19.90 Å³/atom
Total magnetization: 0.00 μB per formula unit
Density of states at the Fermi level: 0.746 states/eV per atom

x | A relaxed Tb2MgO crystal. Source: Alexandria, functional PBE.

Structure (CIF):
```
data_Tb2MgO
_chemical_formula_sum 'Tb6 Mg3 O3'
_cell_length_a 3.5313
_cell_length_b 3.5313
_cell_length_c 24.3599
_cell_angle_alpha 90.00
_cell_angle_beta 90.00
_cell_angle_gamma 120.00
_symmetry_space_group_name_H-M 'R -3 m'
_symmetry_Int_Tables_number 166
_symmetry_space_group_name_Hall '-R 3 2"'
loop_
_atom_site_label
_atom_site_type_symbol
_atom_site_fract_x
_atom_site_fract_y
_atom_site_fract_z
Tb1 Tb 0.0000 0.0000 0.2214
Mg1 Mg 0.0000 0.0000 0.0000
O1 O 0.0000 0.0000 0.5000
```

Properties
V: 21.92 Å³/atom
Total magnetization: 0.00 μB per formula unit
Density of states at the Fermi level: 0.657 states/eV per atom

The structure with the greatest stability is x.

w | A relaxed MgTcO4 crystal. Source: Alexandria, functional PBE.

Structure (CIF):
```
data_MgTcO4
_chemical_formula_sum 'Mg2 Tc2 O8'
_cell_length_a 5.613
_cell_length_b 4.695
_cell_length_c 5.595
_cell_angle_alpha 90.00
_cell_angle_beta 114.13
_cell_angle_gamma 90.00
_symmetry_space_group_name_H-M 'P 1 21/c 1'
_symmetry_Int_Tables_number 14
_symmetry_space_group_name_Hall '-P 2ybc'
loop_
_atom_site_label
_atom_site_type_symbol
_atom_site_fract_x
_atom_site_fract_y
_atom_site_fract_z
Mg1 Mg 0.000 0.000 0.000
Tc1 Tc 0.500 0.000 0.500
O1 O 0.184 0.190 0.374
O2 O 0.359 0.720 0.674
```

Properties
V: 11.21 Å³/atom
Total magnetization: 0.34 μB per formula unit
Density of states at the Fermi level: 0.434 states/eV per atom

x | A relaxed MgTcO4 crystal. Source: Alexandria, functional PBE.

Structure (CIF):
```
data_MgTcO4
_chemical_formula_sum 'Mg2 Tc2 O8'
_cell_length_a 5.807
_cell_length_b 5.807
_cell_length_c 8.772
_cell_angle_alpha 90.00
_cell_angle_beta 90.00
_cell_angle_gamma 90.00
_symmetry_space_group_name_H-M 'I -4'
_symmetry_Int_Tables_number 82
_symmetry_space_group_name_Hall 'I -4'
loop_
_atom_site_label
_atom_site_type_symbol
_atom_site_fract_x
_atom_site_fract_y
_atom_site_fract_z
Mg1 Mg 0.000 0.000 0.000
Tc1 Tc 0.000 0.500 0.250
O1 O 0.072 0.263 0.130
```

Properties
V: 24.65 Å³/atom
Total magnetization: 1.00 μB per formula unit
Density of states at the Fermi level: 0.809 states/eV per atom

The structure with the greatest stability is w.

w | A relaxed MgTcTeO crystal. Source: Alexandria, functional PBE.

Structure (CIF):
```
data_MgTcTeO
_chemical_formula_sum 'Mg1 Tc1 Te1 O1'
_cell_length_a 3.305
_cell_length_b 4.783
_cell_length_c 5.305
_cell_angle_alpha 113.55
_cell_angle_beta 90.23
_cell_angle_gamma 109.94
_symmetry_space_group_name_H-M 'P 1'
_symmetry_Int_Tables_number 1
_symmetry_space_group_name_Hall 'P 1'
loop_
_atom_site_label
_atom_site_type_symbol
_atom_site_fract_x
_atom_site_fract_y
_atom_site_fract_z
Mg1 Mg 0.000 0.000 0.000
Tc1 Tc 0.851 0.702 0.405
Te1 Te 0.605 0.214 0.571
O1 O 0.245 0.491 0.152
```

Properties
V: 17.83 Å³/atom
Total magnetization: 0.00 μB per formula unit
Density of states at the Fermi level: 0.535 states/eV per atom

x | A relaxed MgTcTeO crystal. Source: Alexandria, functional PBE.

Structure (CIF):
```
data_MgTcTeO
_chemical_formula_sum 'Mg1 Tc1 Te1 O1'
_cell_length_a 3.044
_cell_length_b 4.916
_cell_length_c 5.533
_cell_angle_alpha 85.99
_cell_angle_beta 74.12
_cell_angle_gamma 72.21
_symmetry_space_group_name_H-M 'P 1'
_symmetry_Int_Tables_number 1
_symmetry_space_group_name_Hall 'P 1'
loop_
_atom_site_label
_atom_site_type_symbol
_atom_site_fract_x
_atom_site_fract_y
_atom_site_fract_z
Mg1 Mg 0.000 0.000 0.000
Tc1 Tc 0.698 0.082 0.525
Te1 Te 0.903 0.522 0.679
O1 O 0.367 0.017 0.251
```

Properties
V: 18.96 Å³/atom
Total magnetization: 0.00 μB per formula unit
Density of states at the Fermi level: 0.794 states/eV per atom

The structure with the greatest stability is x.